[1]
! HfSc2Ta | the Alexandria database | PBE | optimized geometry; values from VASP
&SYSTEM
  ibrav = 0, nat = 16, ntyp = 3
/
ATOMIC_SPECIES
Hf 178.49 Hf.upf
Sc 44.96 Sc.upf
Ta 180.95 Ta.upf
CELL_PARAMETERS angstrom
6.987 0.000 0.000
0.000 6.987 0.000
0.000 0.000 6.987
ATOMIC_POSITIONS crystal
Hf 0.000 0.000 0.000
Hf 0.000 0.500 0.500
Hf 0.500 0.000 0.500
Hf 0.500 0.500 0.000
Sc 0.250 0.250 0.250
Sc 0.250 0.250 0.750
Sc 0.250 0.750 0.250
Sc 0.250 0.750 0.750
Sc 0.750 0.250 0.250
Sc 0.750 0.250 0.750
Sc 0.750 0.750 0.250
Sc 0.750 0.750 0.750
Ta 0.000 0.000 0.500
Ta 0.000 0.500 0.000
Ta 0.500 0.000 0.000
Ta 0.500 0.500 0.500
! N(E_F) = 24.1 states/eV/cell
! magnetization = 0.00 μB per atom
! space group = Fm-3m, No. 225
! ΔE_f = 335 meV per atom
! energy relative to the lowest polymorph listed for this composition = 188 meV per atom

=====

[2]
! HfScTa3 | the Alexandria database | PBE | optimized geometry; values from VASP
&SYSTEM
  ibrav = 0, nat = 5, ntyp = 3
/
ATOMIC_SPECIES
Hf 178.49 Hf.upf
Sc 44.96 Sc.upf
Ta 180.95 Ta.upf
CELL_PARAMETERS angstrom
4.929 0.000 0.000
0.000 4.929 0.000
0.000 0.000 4.929
ATOMIC_POSITIONS crystal
Hf 0.000 0.000 0.000
Sc 0.500 0.500 0.500
Ta 0.000 0.000 0.500
Ta 0.000 0.500 0.000
Ta 0.500 0.000 0.000
! N(E_F) = 6.9 states/eV/cell
! magnetization = 0.00 μB per atom
! space group = Pm-3m, No. 221
! ΔE_f = 1552 meV per atom
! energy relative to the lowest polymorph listed for this composition = 0 meV per atom

=====

[3]
! HfSc2Ta | the Alexandria database | PBE | optimized geometry; values from VASP
&SYSTEM
  ibrav = 0, nat = 12, ntyp = 3
/
ATOMIC_SPECIES
Hf 178.49 Hf.upf
Sc 44.96 Sc.upf
Ta 180.95 Ta.upf
CELL_PARAMETERS angstrom
3.095 0.000 0.000
-1.548 2.680 0.000
0.000 0.000 31.193
ATOMIC_POSITIONS crystal
Hf 0.000 0.000 0.000
Hf 0.333 0.667 0.667
Hf 0.667 0.333 0.333
Sc 0.000 0.000 0.246
Sc 0.000 0.000 0.754
Sc 0.333 0.667 0.420
Sc 0.333 0.667 0.913
Sc 0.667 0.333 0.087
Sc 0.667 0.333 0.580
Ta 0.000 0.000 0.500
Ta 0.333 0.667 0.167
Ta 0.667 0.333 0.833
! N(E_F) = 16.2 states/eV/cell
! magnetization = 0.00 μB per atom
! space group = R-3m, No. 166
! ΔE_f = 158 meV per atom
! energy relative to the lowest polymorph listed for this composition = 11 meV per atom

=====

[4]
! Hf2ScTa | the Alexandria database | PBE | optimized geometry; values from VASP
&SYSTEM
  ibrav = 0, nat = 4, ntyp = 3
/
ATOMIC_SPECIES
Hf 178.49 Hf.upf
Sc 44.96 Sc.upf
Ta 180.95 Ta.upf
CELL_PARAMETERS angstrom
4.460 0.000 0.000
0.000 4.460 0.000
0.000 0.000 4.295
ATOMIC_POSITIONS crystal
Hf 0.000 0.500 0.000
Hf 0.500 0.000 0.000
Sc 0.000 0.000 0.500
Ta 0.500 0.500 0.500
! N(E_F) = 5.3 states/eV/cell
! magnetization = 0.00 μB per atom
! space group = P4/mmm, No. 123
! ΔE_f = 158 meV per atom
! energy relative to the lowest polymorph listed for this composition = 15 meV per atom

=====

[5]
! HfScTa2 | the Alexandria database | PBE | optimized geometry; values from VASP
&SYSTEM
  ibrav = 0, nat = 16, ntyp = 3
/
ATOMIC_SPECIES
Hf 178.49 Hf.upf
Sc 44.96 Sc.upf
Ta 180.95 Ta.upf
CELL_PARAMETERS angstrom
6.843 0.000 0.000
0.000 6.843 0.000
0.000 0.000 6.843
ATOMIC_POSITIONS crystal
Hf 0.000 0.000 0.000
Hf 0.000 0.500 0.500
Hf 0.500 0.000 0.500
Hf 0.500 0.500 0.000
Sc 0.000 0.000 0.500
Sc 0.000 0.500 0.000
Sc 0.500 0.000 0.000
Sc 0.500 0.500 0.500
Ta 0.250 0.250 0.250
Ta 0.250 0.250 0.750
Ta 0.250 0.750 0.250
Ta 0.250 0.750 0.750
Ta 0.750 0.250 0.250
Ta 0.750 0.250 0.750
Ta 0.750 0.750 0.250
Ta 0.750 0.750 0.750
! N(E_F) = 33.7 states/eV/cell
! magnetization = 0.00 μB per atom
! space group = Fm-3m, No. 225
! ΔE_f = 314 meV per atom
! energy relative to the lowest polymorph listed for this composition = 95 meV per atom

=====

[6]
! HfSc3Ta | the Alexandria database | PBE | optimized geometry; values from VASP
&SYSTEM
  ibrav = 0, nat = 5, ntyp = 3
/
ATOMIC_SPECIES
Hf 178.49 Hf.upf
Sc 44.96 Sc.upf
Ta 180.95 Ta.upf
CELL_PARAMETERS angstrom
5.057 0.000 0.000
0.000 5.057 0.000
0.000 0.000 5.057
ATOMIC_POSITIONS crystal
Hf 0.000 0.000 0.000
Sc 0.000 0.500 0.500
Sc 0.500 0.000 0.500
Sc 0.500 0.500 0.000
Ta 0.500 0.500 0.500
! N(E_F) = 7.5 states/eV/cell
! magnetization = 0.00 μB per atom
! space group = Pm-3m, No. 221
! ΔE_f = 896 meV per atom
! energy relative to the lowest polymorph listed for this composition = 0 meV per atom

=====

[7]
! HfScTa | the Alexandria database | PBE | optimized geometry; values from VASP
&SYSTEM
  ibrav = 0, nat = 6, ntyp = 3
/
ATOMIC_SPECIES
Hf 178.49 Hf.upf
Sc 44.96 Sc.upf
Ta 180.95 Ta.upf
CELL_PARAMETERS angstrom
2.996 0.000 0.000
0.000 2.996 0.000
0.000 0.000 14.335
ATOMIC_POSITIONS crystal
Hf 0.000 0.000 0.000
Hf 0.500 0.500 0.500
Sc 0.000 0.000 0.309
Sc 0.500 0.500 0.809
Ta 0.000 0.000 0.652
Ta 0.500 0.500 0.152
! N(E_F) = 6.3 states/eV/cell
! magnetization = 0.00 μB per atom
! space group = I4mm, No. 107
! ΔE_f = 151 meV per atom
! energy relative to the lowest polymorph listed for this composition = 43 meV per atom

=====

[8]
! HfSc2Ta | the Alexandria database | PBE | optimized geometry; values from VASP
&SYSTEM
  ibrav = 0, nat = 16, ntyp = 3
/
ATOMIC_SPECIES
Hf 178.49 Hf.upf
Sc 44.96 Sc.upf
Ta 180.95 Ta.upf
CELL_PARAMETERS angstrom
7.815 0.000 0.000
0.000 7.815 0.000
0.000 0.000 5.847
ATOMIC_POSITIONS crystal
Hf 0.000 0.000 0.000
Hf 0.000 0.500 0.250
Hf 0.500 0.000 0.750
Hf 0.500 0.500 0.500
Sc 0.237 0.250 0.625
Sc 0.250 0.737 0.875
Sc 0.250 0.763 0.375
Sc 0.263 0.250 0.125
Sc 0.737 0.750 0.125
Sc 0.750 0.237 0.375
Sc 0.750 0.263 0.875
Sc 0.763 0.750 0.625
Ta 0.000 0.000 0.500
Ta 0.000 0.500 0.750
Ta 0.500 0.000 0.250
Ta 0.500 0.500 0.000
! N(E_F) = 23.8 states/eV/cell
! magnetization = 0.00 μB per atom
! space group = I-42d, No. 122
! ΔE_f = 694 meV per atom
! energy relative to the lowest polymorph listed for this composition = 547 meV per atom

=====

[9]
! HfThScTa | the Alexandria database | PBE | optimized geometry; values from VASP
&SYSTEM
  ibrav = 0, nat = 16, ntyp = 4
/
ATOMIC_SPECIES
Hf 178.49 Hf.upf
Th 232.04 Th.upf
Sc 44.96 Sc.upf
Ta 180.95 Ta.upf
CELL_PARAMETERS angstrom
7.182 0.000 0.000
0.000 7.182 0.000
0.000 0.000 7.182
ATOMIC_POSITIONS crystal
Hf 0.000 0.000 0.000
Hf 0.000 0.500 0.500
Hf 0.500 0.000 0.500
Hf 0.500 0.500 0.000
Th 0.000 0.000 0.500
Th 0.000 0.500 0.000
Th 0.500 0.000 0.000
Th 0.500 0.500 0.500
Sc 0.250 0.250 0.250
Sc 0.250 0.750 0.750
Sc 0.750 0.250 0.750
Sc 0.750 0.750 0.250
Ta 0.250 0.250 0.750
Ta 0.250 0.750 0.250
Ta 0.750 0.250 0.250
Ta 0.750 0.750 0.750
! N(E_F) = 25.6 states/eV/cell
! magnetization = 0.00 μB per atom
! space group = F-43m, No. 216
! ΔE_f = 193 meV per atom

=====

[10]
! Hf2ScTaTl | the Alexandria database | PBE | optimized geometry; values from VASP
&SYSTEM
  ibrav = 0, nat = 5, ntyp = 4
/
ATOMIC_SPECIES
Hf 178.49 Hf.upf
Sc 44.96 Sc.upf
Ta 180.95 Ta.upf
Tl 204.38 Tl.upf
CELL_PARAMETERS angstrom
5.244 0.000 0.000
0.000 5.244 0.000
0.000 0.000 5.182
ATOMIC_POSITIONS crystal
Hf 0.000 0.500 0.000
Hf 0.500 0.000 0.000
Sc 0.000 0.000 0.500
Ta 0.500 0.500 0.500
Tl 0.500 0.500 0.000
! N(E_F) = 9.1 states/eV/cell
! magnetization = 0.00 μB per atom
! space group = P4/mmm, No. 123
! ΔE_f = 1510 meV per atom

=====

[11]
! HfSc2TaV | the Alexandria database | PBE | optimized geometry; values from VASP
&SYSTEM
  ibrav = 0, nat = 5, ntyp = 4
/
ATOMIC_SPECIES
Hf 178.49 Hf.upf
Sc 44.96 Sc.upf
Ta 180.95 Ta.upf
V 50.94 V.upf
CELL_PARAMETERS angstrom
4.705 0.000 0.000
0.000 4.705 0.000
0.000 0.000 4.891
ATOMIC_POSITIONS crystal
Hf 0.000 0.000 0.000
Sc 0.000 0.500 0.500
Sc 0.500 0.000 0.500
Ta 0.500 0.500 0.000
V 0.000 0.000 0.500
! N(E_F) = 7.7 states/eV/cell
! magnetization = 0.00 μB per atom
! space group = P4/mmm, No. 123
! ΔE_f = 931 meV per atom

=====

[12]
! HfSc2TaZn | the Alexandria database | PBE | optimized geometry; values from VASP
&SYSTEM
  ibrav = 0, nat = 5, ntyp = 4
/
ATOMIC_SPECIES
Hf 178.49 Hf.upf
Sc 44.96 Sc.upf
Ta 180.95 Ta.upf
Zn 65.41 Zn.upf
CELL_PARAMETERS angstrom
4.823 0.000 0.000
0.000 4.823 0.000
0.000 0.000 5.025
ATOMIC_POSITIONS crystal
Hf 0.000 0.000 0.000
Sc 0.000 0.500 0.500
Sc 0.500 0.000 0.500
Ta 0.500 0.500 0.000
Zn 0.000 0.000 0.500
! N(E_F) = 10.4 states/eV/cell
! magnetization = 0.00 μB per atom
! space group = P4/mmm, No. 123
! ΔE_f = 835 meV per atom